# 1
Tl7Hg3Sb2, relaxed, DFT PBE; symmetry = Cmmm; uncorrected formation energy = 0.051 eV per atom; final energy = -2.09 eV per atom; excess energy over the best structure of this formula in the dataset = 25 meV/atom
1.0
2.7389 -13.1920 0.0000
2.7389 13.1920 0.0000
0.0000 0.0000 5.4949
Tl Hg Sb
7 3 2
direct
0.0000 0.0000 0.0000
0.0802 0.9198 0.5000
0.2842 0.7158 0.0000
0.4265 0.5735 0.0000
0.5735 0.4265 0.0000
0.7158 0.2842 0.0000
0.9198 0.0802 0.5000
0.3421 0.6579 0.5000
0.5000 0.5000 0.5000
0.6579 0.3421 0.5000
0.1448 0.8552 0.0000
0.8552 0.1448 0.0000


# 2
Dy3Ga4Rh4, relaxed, DFT PBE; symmetry = P-1; final energy = -5.81 eV per atom; ΔH_f (0 K) = -8.62 eV per formula unit
1.0
3.7690 0.0000 0.0000
-0.0028 4.3905 0.0000
-1.8836 -2.1249 12.6747
Dy Ga Rh
3 4 4
direct
0.0000 0.0000 0.0000
0.1464 0.6502 0.2940
0.8536 0.3498 0.7060
0.3066 0.8043 0.6124
0.4497 0.4505 0.9002
0.5503 0.5495 0.0998
0.6934 0.1957 0.3876
0.2557 0.2560 0.5124
0.4043 0.9057 0.8083
0.5957 0.0943 0.1917
0.7443 0.7440 0.4876


# 3
Pm2SmDy, relaxed, DFT PBE; symmetry = P4/mmm; final energy = -4.59 eV per atom; excess energy over the best structure of this formula in the dataset = 101 meV/atom; ΔH_f (0 K) = 0.46 eV per formula unit
1.0
4.2516 0.0000 0.0000
0.0000 4.2516 0.0000
0.0000 0.0000 7.4294
Pm Sm Dy
2 1 1
direct
0.0000 0.0000 0.2463
0.0000 0.0000 0.7537
0.5000 0.5000 0.5000
0.5000 0.5000 0.0000


# 4
Ac2BrF6, relaxed, DFT PBE; symmetry = Immm; uncorrected formation energy = -3.527 eV per atom; final energy = -5.87 eV per atom
1.0
-2.2122 3.6033 5.5156
2.2122 -3.6033 5.5156
2.2122 3.6033 -5.5156
Ac Br F
2 1 6
direct
0.1883 0.1883 0.0000
0.8117 0.8117 0.0000
0.5000 0.5000 0.0000
0.0146 0.6977 0.3169
0.1808 0.0000 0.1808
0.3807 0.6977 0.6831
0.6193 0.3023 0.3169
0.8192 0.0000 0.8192
0.9854 0.3023 0.6831


# 5
CdGa3F, relaxed, DFT PBE; symmetry = Pm-3m; uncorrected formation energy = 0.076 eV per atom; final energy = -2.30 eV per atom; excess energy over the best structure of this formula in the dataset = 442 meV/atom
1.0
5.2346 0.0000 0.0000
0.0000 5.2346 0.0000
0.0000 0.0000 5.2346
Cd Ga F
1 3 1
direct
0.0000 0.0000 0.0000
0.0000 0.0000 0.5000
0.0000 0.5000 0.0000
0.5000 0.0000 0.0000
0.5000 0.5000 0.5000


# 6
TlGa2Cl8, relaxed, DFT PBE; symmetry = C2/m; uncorrected formation energy = -0.944 eV per atom; final energy = -3.05 eV per atom; excess energy over the best structure of this formula in the dataset = 56 meV/atom
1.0
6.5432 -3.6783 0.0000
6.5432 3.6783 0.0000
-2.6510 0.0000 7.7017
Tl Ga Cl
1 2 8
direct
0.0000 0.0000 0.0000
0.2191 0.2191 0.7062
0.7809 0.7809 0.2938
0.0838 0.6027 0.1897
0.1444 0.1444 0.4230
0.3943 0.3943 0.7899
0.3973 0.9162 0.8103
0.6027 0.0838 0.1897
0.6057 0.6057 0.2101
0.8556 0.8556 0.5770
0.9162 0.3973 0.8103


# 7
PmGdScAl, relaxed, DFT PBE; symmetry = F-43m; final energy = -7.34 eV per atom; ΔH_f (0 K) = -0.44 eV per formula unit
1.0
0.0000 3.7456 3.7456
3.7456 0.0000 3.7456
3.7456 3.7456 0.0000
Pm Gd Sc Al
1 1 1 1
direct
0.0000 0.0000 0.0000
0.5000 0.5000 0.5000
0.7500 0.7500 0.7500
0.2500 0.2500 0.2500